(1)
The following is a DFT calculation (PBE-GGA) of a relaxed structure of TaNiPt2.

Lattice parameters (Å, degrees): 4.421 4.421 4.421 60.00 60.00 60.00
Element x y z (fractional)
Ta (0.000, 0.000, 0.000)
Ni (0.500, 0.500, 0.500)
Pt (0.250, 0.250, 0.250)
Pt (0.750, 0.750, 0.750)

* symmetry: No. 225

=====

(2)
The following is a DFT calculation (PBE-GGA) of a relaxed structure of ScMn2CdRh.

Lattice parameters (Å, degrees): 4.815 4.815 4.967 90.00 90.00 90.00
Element x y z (fractional)
Sc (0.000, 0.000, 0.000)
Mn (0.000, 0.500, 0.500)
Mn (0.500, 0.000, 0.500)
Cd (0.500, 0.500, 0.500)
Rh (0.500, 0.500, 0.000)

* symmetry: No. 123

=====

(3)
The following is a DFT calculation (PBE-GGA) of a relaxed structure of Y4Al3Sn.

Lattice parameters (Å, degrees): 4.180 4.455 11.175 90.00 90.00 90.00
Element x y z (fractional)
Y (0.000, 0.000, 0.000)
Y (0.000, 0.500, 0.490)
Y (0.500, 0.000, 0.713)
Y (0.500, 0.500, 0.217)
Al (0.000, 0.000, 0.283)
Al (0.500, 0.000, 0.431)
Al (0.500, 0.500, 0.938)
Sn (0.000, 0.500, 0.776)

* symmetry: No. 25

=====

no.,volume (Å³/atom),uncorrected energy (eV per formula unit)
1,15.27,-31.4
2,23.03,-27.8
3,26.01,-45.3